1.
{"formula": "As2Pb2O5", "functional": "PBEsol", "state": "relaxed", "lattice_angstrom": [[5.669, 0.000, 0.000], [0.000, 8.521, -0.070], [0.000, -4.097, 12.877]], "species": ["As", "As", "As", "As", "As", "As", "As", "As", "Pb", "Pb", "Pb", "Pb", "Pb", "Pb", "Pb", "Pb", "O", "O", "O", "O", "O", "O", "O", "O", "O", "O", "O", "O", "O", "O", "O", "O", "O", "O", "O", "O"], "frac_coords": [[0.133, 0.756, 0.870], [0.133, 0.327, 0.939], [0.367, 0.256, 0.370], [0.633, 0.744, 0.630], [0.867, 0.244, 0.130], [0.633, 0.173, 0.561], [0.367, 0.827, 0.439], [0.867, 0.673, 0.061], [0.845, 0.945, 0.299], [0.344, 0.980, 0.121], [0.844, 0.520, 0.379], [0.155, 0.055, 0.701], [0.655, 0.445, 0.799], [0.156, 0.480, 0.621], [0.656, 0.020, 0.879], [0.345, 0.555, 0.201], [0.941, 0.452, 0.204], [0.386, 0.709, 0.533], [0.155, 0.706, 0.352], [0.498, 0.635, 0.706], [0.882, 0.240, 0.861], [0.059, 0.548, 0.796], [0.114, 0.209, 0.033], [0.118, 0.760, 0.139], [0.655, 0.794, 0.148], [0.559, 0.952, 0.704], [0.845, 0.294, 0.648], [0.382, 0.260, 0.639], [0.002, 0.135, 0.206], [0.614, 0.291, 0.467], [0.618, 0.740, 0.361], [0.502, 0.365, 0.294], [0.345, 0.206, 0.852], [0.441, 0.048, 0.296], [0.998, 0.865, 0.794], [0.886, 0.791, 0.967]], "sg": "No. 14", "total_energy_ev_per_atom": -6.165, "n_ef_per_ev_atom": 0.000, "raw_formation_energy_ev_per_atom": -1.23}

---

2.
{"formula": "As2Pb8O13", "functional": "PBEsol", "state": "relaxed", "lattice_angstrom": [[-3.804, -6.371, 1.267], [5.799, -4.238, -2.253], [5.432, -2.439, 13.344]], "species": ["Pb", "Pb", "Pb", "Pb", "Pb", "Pb", "Pb", "Pb", "Pb", "Pb", "Pb", "Pb", "Pb", "Pb", "Pb", "Pb", "O", "O", "O", "O", "O", "O", "O", "O", "O", "O", "O", "O", "O", "O", "O", "O", "O", "O", "O", "O", "O", "O", "O", "O", "O", "O", "As", "As", "As", "As"], "frac_coords": [[0.434, 0.434, 0.716], [0.073, 0.545, 0.295], [0.926, 0.926, 0.700], [0.666, 0.666, 0.882], [0.157, 0.666, 0.906], [0.455, 0.927, 0.705], [0.739, 0.739, 0.517], [0.334, 0.334, 0.118], [0.334, 0.843, 0.094], [0.843, 0.334, 0.094], [0.566, 0.566, 0.284], [0.666, 0.157, 0.906], [0.545, 0.073, 0.295], [0.074, 0.074, 0.300], [0.927, 0.455, 0.705], [0.261, 0.261, 0.483], [0.331, 0.044, 0.195], [0.867, 0.867, 0.975], [0.314, 0.314, 0.870], [0.672, 0.393, 0.793], [0.956, 0.669, 0.805], [0.421, 0.724, 0.573], [0.579, 0.276, 0.427], [0.607, 0.328, 0.207], [0.328, 0.607, 0.207], [0.726, 0.726, 0.668], [0.044, 0.331, 0.195], [0.724, 0.421, 0.573], [0.948, 0.270, 0.433], [0.274, 0.274, 0.332], [0.133, 0.133, 0.025], [0.730, 0.052, 0.567], [0.963, 0.233, 0.860], [0.037, 0.767, 0.140], [0.276, 0.579, 0.427], [0.052, 0.730, 0.567], [0.767, 0.037, 0.140], [0.686, 0.686, 0.130], [0.393, 0.672, 0.793], [0.669, 0.956, 0.805], [0.270, 0.948, 0.433], [0.233, 0.963, 0.860], [0.156, 0.156, 0.906], [0.747, 0.253, 0.500], [0.844, 0.844, 0.094], [0.253, 0.747, 0.500]], "sg": "No. 12", "total_energy_ev_per_atom": -6.019, "n_ef_per_ev_atom": 0.000, "raw_formation_energy_ev_per_atom": -1.22}

---

3.
{"formula": "AsPbO2", "functional": "PBEsol", "state": "relaxed", "lattice_angstrom": [[5.382, 0.000, 0.000], [0.000, 5.382, 0.000], [-2.691, -2.691, 5.034]], "species": ["As", "As", "Pb", "Pb", "O", "O", "O", "O"], "frac_coords": [[0.500, 0.500, 0.000], [0.750, 0.250, 0.500], [0.250, 0.750, 0.500], [0.000, 0.000, 0.000], [0.625, 0.543, 0.750], [0.125, 0.207, 0.750], [0.793, 0.375, 0.250], [0.457, 0.875, 0.250]], "sg": "No. 122", "total_energy_ev_per_atom": -5.411, "n_ef_per_ev_atom": 0.323, "raw_formation_energy_ev_per_atom": -0.51}

---

4.
{"formula": "Zn3SbAs2Pb3O14", "functional": "PBEsol", "state": "relaxed", "lattice_angstrom": [[-2.867, 2.007, 3.921], [5.716, -2.760, 5.592], [0.775, 7.715, -3.382]], "species": ["O", "O", "O", "O", "O", "O", "O", "O", "O", "O", "O", "O", "O", "O", "Pb", "Pb", "Pb", "As", "As", "Zn", "Zn", "Zn", "Sb"], "frac_coords": [[0.688, 0.308, 0.838], [0.688, 0.530, 0.692], [0.312, 0.470, 0.162], [0.228, 0.333, 0.667], [0.688, 0.162, 0.470], [0.312, 0.692, 0.530], [0.225, 0.081, 0.863], [0.775, 0.218, 0.137], [0.312, 0.838, 0.308], [0.772, 0.667, 0.333], [0.775, 0.919, 0.782], [0.225, 0.137, 0.218], [0.775, 0.863, 0.081], [0.225, 0.782, 0.919], [0.000, 0.596, 0.000], [0.000, 0.404, 0.404], [0.000, 0.000, 0.596], [0.448, 0.667, 0.333], [0.552, 0.333, 0.667], [0.500, 0.000, 0.237], [0.500, 0.237, 0.000], [0.500, 0.763, 0.763], [0.000, 0.000, 0.000]], "sg": "No. 150", "total_energy_ev_per_atom": -5.867, "n_ef_per_ev_atom": 0.607, "raw_formation_energy_ev_per_atom": -1.30}

---

5.
{"formula": "As2PdO6", "functional": "PBEsol", "state": "relaxed", "lattice_angstrom": [[-1.274, 1.970, -3.978], [3.948, -1.853, -2.182], [-4.162, -2.540, 0.076]], "species": ["Pd", "O", "O", "O", "O", "O", "O", "As", "As"], "frac_coords": [[0.000, 0.000, 0.000], [0.277, 0.371, 0.371], [0.723, 0.629, 0.629], [0.277, 0.000, 0.629], [0.723, 0.000, 0.371], [0.723, 0.371, 0.000], [0.277, 0.629, 0.000], [0.500, 0.333, 0.667], [0.500, 0.667, 0.333]], "sg": "No. 162", "total_energy_ev_per_atom": -6.245, "n_ef_per_ev_atom": 0.096, "raw_formation_energy_ev_per_atom": -0.95}

---

6.
{"formula": "PrAsO4", "functional": "PBEsol", "state": "relaxed", "lattice_angstrom": [[6.112, 0.004, 0.000], [-2.672, 5.497, 0.000], [-1.720, -2.751, 5.180]], "species": ["As", "As", "O", "O", "O", "O", "O", "O", "O", "O", "Pr", "Pr"], "frac_coords": [[0.500, 0.500, 0.000], [0.750, 0.250, 0.500], [0.920, 0.599, 0.679], [0.491, 0.670, 0.821], [0.330, 0.151, 0.821], [0.759, 0.080, 0.679], [0.401, 0.080, 0.321], [0.330, 0.509, 0.179], [0.849, 0.670, 0.179], [0.920, 0.241, 0.321], [0.250, 0.750, 0.500], [0.000, 0.000, 0.000]], "sg": "No. 141", "relative_energy_mev_per_atom": 6, "total_energy_ev_per_atom": -7.547, "n_ef_per_ev_atom": 0.000, "raw_formation_energy_ev_per_atom": -2.33}

---

7.
{"formula": "PrAsO4", "functional": "PBEsol", "state": "relaxed", "lattice_angstrom": [[-1.905, 3.657, -3.073], [-4.757, -1.152, 1.578], [3.822, 2.627, 5.059]], "species": ["O", "O", "O", "O", "O", "O", "O", "O", "Pr", "Pr", "As", "As"], "frac_coords": [[0.559, 0.668, 0.843], [0.283, 0.175, 0.843], [0.825, 0.441, 0.157], [0.691, 0.082, 0.657], [0.425, 0.309, 0.343], [0.967, 0.575, 0.657], [0.918, 0.033, 0.343], [0.332, 0.717, 0.157], [0.250, 0.750, 0.500], [0.000, 0.000, 0.000], [0.500, 0.500, 0.000], [0.750, 0.250, 0.500]], "sg": "No. 88", "relative_energy_mev_per_atom": 0, "total_energy_ev_per_atom": -7.553, "n_ef_per_ev_atom": 0.000, "raw_formation_energy_ev_per_atom": -2.34}

---

8.
{"formula": "AsPtSe2O", "functional": "PBEsol", "state": "relaxed", "lattice_angstrom": [[-2.459, -0.541, -3.933], [-3.862, -1.772, 2.659], [-1.800, 4.653, 0.486]], "species": ["Se", "Se", "O", "As", "Pt"], "frac_coords": [[0.000, 0.500, 0.000], [0.000, 0.000, 0.500], [0.500, 0.500, 0.500], [0.500, 0.000, 0.000], [0.000, 0.000, 0.000]], "sg": "No. 123", "total_energy_ev_per_atom": -3.956, "n_ef_per_ev_atom": 0.973, "raw_formation_energy_ev_per_atom": 1.05}

---

9.
{"formula": "SrAs2PtO", "functional": "PBEsol", "state": "relaxed", "lattice_angstrom": [[5.229, 0.000, 0.000], [0.000, 5.567, 0.000], [0.000, 0.000, 5.567]], "species": ["As", "As", "Pt", "O", "Sr"], "frac_coords": [[0.000, 0.500, 0.000], [0.000, 0.000, 0.500], [0.500, 0.000, 0.000], [0.500, 0.500, 0.500], [0.000, 0.000, 0.000]], "sg": "No. 123", "total_energy_ev_per_atom": -2.930, "n_ef_per_ev_atom": 1.113, "raw_formation_energy_ev_per_atom": 1.92}

---

10.
{"formula": "TlAs2PtO", "functional": "PBEsol", "state": "relaxed", "lattice_angstrom": [[-2.059, -1.229, 3.764], [3.605, -2.337, 1.209], [1.603, 3.520, 2.026]], "species": ["As", "As", "Pt", "Tl", "O"], "frac_coords": [[0.000, 0.500, 0.000], [0.500, 0.000, 0.000], [0.000, 0.000, 0.500], [0.500, 0.500, 0.500], [0.000, 0.000, 0.000]], "sg": "No. 123", "total_energy_ev_per_atom": -4.666, "n_ef_per_ev_atom": 0.473, "raw_formation_energy_ev_per_atom": 0.35}

---

11.
{"formula": "RbAs2SeO", "functional": "PBEsol", "state": "relaxed", "lattice_angstrom": [[4.377, 0.000, 0.000], [0.000, 4.377, 0.000], [0.000, 0.000, 5.298]], "species": ["Rb", "O", "Se", "As", "As"], "frac_coords": [[0.000, 0.000, 0.500], [0.000, 0.000, 0.000], [0.500, 0.500, 0.500], [0.500, 0.000, 0.000], [0.000, 0.500, 0.000]], "sg": "No. 123", "relative_energy_mev_per_atom": 0, "total_energy_ev_per_atom": -4.131, "n_ef_per_ev_atom": 0.645, "raw_formation_energy_ev_per_atom": -0.06}

---

12.
{"formula": "RbAs2SeO", "functional": "PBEsol", "state": "relaxed", "lattice_angstrom": [[-0.583, 0.433, -4.389], [0.090, -4.425, -0.449], [-5.090, -0.171, 0.660]], "species": ["O", "Rb", "As", "As", "Se"], "frac_coords": [[0.000, 0.000, 0.000], [0.500, 0.500, 0.500], [0.000, 0.500, 0.000], [0.500, 0.000, 0.000], [0.000, 0.000, 0.500]], "sg": "No. 123", "relative_energy_mev_per_atom": 218, "total_energy_ev_per_atom": -3.913, "n_ef_per_ev_atom": 1.047, "raw_formation_energy_ev_per_atom": 0.15}